No. 1
La2SiTe (PBEsol, optimized geometry); raw formation energy = -1.15 eV per atom; electronic total energy = -6.138 eV/atom; energy above the lowest structure with this stoichiometry = 0 meV per atom
1.0
4.410 0.000 0.000
-2.205 3.820 0.000
0.000 0.000 22.116
La Si Te
6 3 3
direct
0.000 0.000 0.242
0.000 0.000 0.758
0.333 0.667 0.424
0.333 0.667 0.909
0.667 0.333 0.091
0.667 0.333 0.576
0.000 0.000 0.500
0.333 0.667 0.167
0.667 0.333 0.833
0.000 0.000 0.000
0.333 0.667 0.667
0.667 0.333 0.333

---

No. 2
La2SiTe (PBEsol, optimized geometry); raw formation energy = -1.10 eV per atom; electronic total energy = -6.096 eV/atom; energy above the lowest structure with this stoichiometry = 42 meV per atom
1.0
4.434 0.000 0.000
0.000 4.434 0.000
0.000 0.000 6.255
La Si Te
2 1 1
direct
0.000 0.000 0.000
0.500 0.500 0.500
0.000 0.000 0.500
0.500 0.500 0.000

---

No. 3
La4SiTe (PBEsol, optimized geometry); raw formation energy = -0.03 eV per atom; electronic total energy = -5.144 eV/atom
1.0
0.000 4.426 4.426
4.426 0.000 4.426
4.426 4.426 0.000
La Si Te
4 1 1
direct
0.124 0.124 0.124
0.124 0.124 0.628
0.124 0.628 0.124
0.628 0.124 0.124
0.750 0.750 0.750
0.500 0.500 0.500

---

No. 4
La2SiTe (PBEsol, optimized geometry); raw formation energy = -0.88 eV per atom; electronic total energy = -5.873 eV/atom; energy above the lowest structure with this stoichiometry = 265 meV per atom
1.0
7.593 0.000 0.000
0.000 7.593 0.000
0.000 0.000 7.593
La Si Te
8 4 4
direct
0.250 0.250 0.250
0.250 0.250 0.750
0.250 0.750 0.250
0.250 0.750 0.750
0.750 0.250 0.250
0.750 0.250 0.750
0.750 0.750 0.250
0.750 0.750 0.750
0.000 0.000 0.000
0.000 0.500 0.500
0.500 0.000 0.500
0.500 0.500 0.000
0.000 0.000 0.500
0.000 0.500 0.000
0.500 0.000 0.000
0.500 0.500 0.500

---

No. 5
LaTl2Si (PBEsol, optimized geometry); raw formation energy = -0.25 eV per atom; electronic total energy = -4.335 eV/atom; energy above the lowest structure with this stoichiometry = 0 meV per atom
1.0
3.959 0.000 0.000
0.000 4.773 0.000
0.000 0.000 10.622
La Tl Si
2 4 2
direct
0.000 0.000 0.000
0.500 0.500 0.500
0.000 0.500 0.223
0.000 0.500 0.777
0.500 0.000 0.277
0.500 0.000 0.723
0.000 0.000 0.500
0.500 0.500 0.000

---

No. 6
LaTlSi (PBEsol, optimized geometry); raw formation energy = -0.21 eV per atom; electronic total energy = -4.789 eV/atom
1.0
3.282 0.000 0.000
0.000 3.957 0.000
0.000 0.000 11.269
La Tl Si
2 2 2
direct
0.000 0.000 0.000
0.500 0.500 0.500
0.000 0.000 0.297
0.500 0.500 0.797
0.000 0.000 0.664
0.500 0.500 0.164

---

What did the sixth record say?
LaTlSi (PBEsol, optimized geometry); raw formation energy = -0.21 eV per atom; electronic total energy = -4.789 eV/atom
1.0
3.282 0.000 0.000
0.000 3.957 0.000
0.000 0.000 11.269
La Tl Si
2 2 2
direct
0.000 0.000 0.000
0.500 0.500 0.500
0.000 0.000 0.297
0.500 0.500 0.797
0.000 0.000 0.664
0.500 0.500 0.164

---

Q: The lowest raw formation energy belongs to which entry?
A: number 1

---

Q: raw formation energy of number 4 (La2SiTe)?
A: -0.88 eV per atom

---

Q: Among the records above, which one has the highest electronic total energy?
A: LaTl2Si